Record 1
DFT (GGA-PBEsol) results for an optimized crystal structure of K2Na2Sr.

DFT formation energy = 0.182 eV per atom
Calculated density = 1.33 g/cm3
Energy = -1.20 eV per atom
Symmetry = No. 139

Cell: 6.4113 6.4113 7.8546 Å, 114.09 114.09 90.00°
Last column: nearest neighbours and their distance in Å.
Positions (direct):
Sr1 0.0000 0.0000 0.0000  8 Na 4.53, 10 K 4.68-4.85
K1 0.3647 0.3647 0.7294  1 K 3.47, 4 Na 3.53
K2 0.6353 0.6353 0.2706  1 K 3.47, 4 Na 3.53
Na1 0.2500 0.7500 0.5000  4 K 3.53
Na2 0.7500 0.2500 0.5000  4 K 3.53

***

Record 2
DFT (GGA-PBEsol) results for an optimized crystal structure of K2NaSr.

DFT formation energy = 0.140 eV per atom
Calculated density = 1.37 g/cm3
Energy = -1.24 eV per atom
Symmetry = No. 225

Cell: 6.8588 6.8588 6.8588 Å, 60.00 60.00 60.00°
Last column: nearest neighbours and their distance in Å.
Positions (direct):
Sr1 0.5000 0.5000 0.5000  8 K 4.20
K1 0.2500 0.2500 0.2500  4 Na 4.20, 4 Sr 4.20
K2 0.7500 0.7500 0.7500  4 Na 4.20, 4 Sr 4.20
Na1 0.0000 0.0000 0.0000  8 K 4.20

***

Record 3
DFT (GGA-PBEsol) results for an optimized crystal structure of K3NaSr.

DFT formation energy = 0.229 eV per atom
Calculated density = 1.16 g/cm3
Energy = -1.10 eV per atom
Symmetry = No. 221

Cell: 6.8810 6.8810 6.8810 Å, 90.00 90.00 90.00°
Last column: nearest neighbours and their distance in Å.
Positions (direct):
Sr1 0.5000 0.5000 0.5000  12 K 4.87
K1 0.0000 0.5000 0.0000  2 Na 3.44
K2 0.0000 0.0000 0.5000  2 Na 3.44
K3 0.5000 0.0000 0.0000  2 Na 3.44
Na1 0.0000 0.0000 0.0000  6 K 3.44